[1]
Here is an optimized crystal structure of LiTa2MnIr from the Alexandria database. Energies are from PBE.

Values from the calculation:
- Space group: No. 123
- Formation enthalpy at 0 K: 433 kJ/mol of formula units
- Size of the total moment: 0.000 Bohr magnetons per cell

abc: 4.416 3.745 4.416
angles: 90.00 90.00 90.00
Positions (direct):
Ta (0.500, 0.000, 0.000)
Ta (0.000, 0.000, 0.500)
Ir (0.500, 0.500, 0.500)
Mn (0.000, 0.500, 0.000)
Li (0.000, 0.000, 0.000)



[2]
Here is an optimized crystal structure of LiTbMnIr from the Alexandria database. Energies are from PBE.

Values from the calculation:
- Space group: No. 216
- Formation enthalpy at 0 K: -91 kJ/mol of formula units
- Size of the total moment: 4.159 Bohr magnetons per cell

abc: 4.658 4.658 4.658
angles: 60.00 60.00 60.00
Last column: magnetic moment on the atom in μB.
Positions (direct):
Mn (0.000, 0.000, 0.000)  3.85
Ir (0.250, 0.250, 0.250)  0.29
Tb (0.500, 0.500, 0.500)  -0.10
Li (0.750, 0.750, 0.750)  -0.04



[3]
Here is an optimized crystal structure of LiMnTc2Ir from the Alexandria database. Energies are from PBE.

Values from the calculation:
- Space group: No. 123
- Formation enthalpy at 0 K: 499 kJ/mol of formula units
- Size of the total moment: 0.000 Bohr magnetons per cell

abc: 4.066 3.908 4.066
angles: 90.00 90.00 90.00
Positions (direct):
Tc (0.000, 0.000, 0.500)
Tc (0.500, 0.000, 0.000)
Li (0.000, 0.000, 0.000)
Mn (0.000, 0.500, 0.000)
Ir (0.500, 0.500, 0.500)



[4]
Here is an optimized crystal structure of LiMnTcIr from the Alexandria database. Energies are from PBE.

Values from the calculation:
- Space group: No. 216
- Formation enthalpy at 0 K: 19 kJ/mol of formula units
- Size of the total moment: 1.160 Bohr magnetons per cell

abc: 4.163 4.163 4.163
angles: 60.00 60.00 60.00
Last column: magnetic moment on the atom in μB.
Positions (direct):
Ir (0.000, 0.000, 0.000)  -0.01
Mn (0.250, 0.250, 0.250)  1.94
Tc (0.500, 0.500, 0.500)  -0.70
Li (0.750, 0.750, 0.750)  -0.02



[5]
Here is an optimized crystal structure of LiTiMnIr from the Alexandria database. Energies are from PBE.

Values from the calculation:
- Space group: No. 216
- Formation enthalpy at 0 K: -108 kJ/mol of formula units
- Size of the total moment: 2.916 Bohr magnetons per cell

abc: 4.280 4.280 4.280
angles: 60.00 60.00 60.00
Last column: magnetic moment on the atom in μB.
Positions (direct):
Ti (0.250, 0.250, 0.250)  -0.49
Mn (0.500, 0.500, 0.500)  3.25
Li (0.750, 0.750, 0.750)  -0.04
Ir (0.000, 0.000, 0.000)  0.13



[6]
Here is an optimized crystal structure of LiTmMnIr from the Alexandria database. Energies are from PBE.

Values from the calculation:
- Space group: No. 216
- Formation enthalpy at 0 K: -115 kJ/mol of formula units
- Size of the total moment: 4.070 Bohr magnetons per cell

abc: 4.602 4.602 4.602
angles: 60.00 60.00 60.00
Last column: magnetic moment on the atom in μB.
Positions (direct):
Li (0.750, 0.750, 0.750)  -0.04
Mn (0.500, 0.500, 0.500)  3.78
Tm (0.000, 0.000, 0.000)  -0.13
Ir (0.250, 0.250, 0.250)  0.27



[7]
Here is an optimized crystal structure of LiYMnIr from the Alexandria database. Energies are from PBE.

Values from the calculation:
- Space group: No. 216
- Formation enthalpy at 0 K: -91 kJ/mol of formula units
- Size of the total moment: 4.085 Bohr magnetons per cell

abc: 4.652 4.652 4.652
angles: 60.00 60.00 60.00
Last column: magnetic moment on the atom in μB.
Positions (direct):
Li (0.000, 0.000, 0.000)  -0.04
Y (0.250, 0.250, 0.250)  -0.09
Ir (0.500, 0.500, 0.500)  0.28
Mn (0.750, 0.750, 0.750)  3.83



[8]
Here is an optimized crystal structure of LiYMn2Ir from the Alexandria database. Energies are from PBE.

Values from the calculation:
- Space group: No. 123
- Formation enthalpy at 0 K: 963 kJ/mol of formula units
- Size of the total moment: 0.001 Bohr magnetons per cell

abc: 4.402 4.234 4.402
angles: 90.00 90.00 90.00
Positions (direct):
Li (0.000, 0.500, 0.000)
Mn (0.500, 0.000, 0.000)
Mn (0.000, 0.000, 0.500)
Ir (0.500, 0.500, 0.500)
Y (0.000, 0.000, 0.000)



[9]
Here is an optimized crystal structure of LiZrMnIr from the Alexandria database. Energies are from PBE.

Values from the calculation:
- Space group: No. 216
- Formation enthalpy at 0 K: -110 kJ/mol of formula units
- Size of the total moment: 3.524 Bohr magnetons per cell

abc: 4.505 4.505 4.505
angles: 60.00 60.00 60.00
Last column: magnetic moment on the atom in μB.
Positions (direct):
Mn (0.000, 0.000, 0.000)  3.67
Ir (0.250, 0.250, 0.250)  0.21
Zr (0.500, 0.500, 0.500)  -0.28
Li (0.750, 0.750, 0.750)  -0.04



[10]
Here is an optimized crystal structure of Li2MoIr from the Alexandria database. Energies are from PBE.

Values from the calculation:
- E above lowest polymorph: 0.135 eV/atom
- Space group: No. 71
- Formation enthalpy at 0 K: 31 kJ/mol of formula units
- Size of the total moment: 0.007 Bohr magnetons per cell

abc: 5.422 5.422 5.422
angles: 149.98 131.74 57.89
Positions (direct):
Mo (0.750, 0.250, 0.500)
Li (0.014, 0.014, 0.000)
Li (0.486, 0.486, 0.000)
Ir (0.250, 0.750, 0.500)



[11]
Here is an optimized crystal structure of Li2MoIr from the Alexandria database. Energies are from PBE.

Values from the calculation:
- E above lowest polymorph: 0.485 eV/atom
- Space group: No. 123
- Formation enthalpy at 0 K: 166 kJ/mol of formula units
- Size of the total moment: 0.363 Bohr magnetons per cell

abc: 3.206 3.206 5.166
angles: 90.00 90.00 90.00
Last column: magnetic moment on the atom in μB.
Positions (direct):
Li (0.000, 0.000, 0.976)  0.00
Li (0.000, 0.000, 0.524)  0.00
Ir (0.500, 0.500, 0.750)  0.04
Mo (0.500, 0.500, 0.250)  0.28



[12]
Here is an optimized crystal structure of LiMo2Ir from the Alexandria database. Energies are from PBE.

Values from the calculation:
- E above lowest polymorph: 0.136 eV/atom
- Space group: No. 99
- Formation enthalpy at 0 K: 60 kJ/mol of formula units
- Size of the total moment: 0.000 Bohr magnetons per cell

abc: 3.162 3.162 5.772
angles: 90.00 90.00 90.00
Positions (direct):
Mo (0.000, 0.000, 0.995)
Mo (0.500, 0.500, 0.239)
Li (0.500, 0.500, 0.737)
Ir (0.000, 0.000, 0.528)



[13]
Here is an optimized crystal structure of LiMo2Ir from the Alexandria database. Energies are from PBE.

Values from the calculation:
- E above lowest polymorph: 0.540 eV/atom
- Space group: No. 122
- Formation enthalpy at 0 K: 216 kJ/mol of formula units
- Size of the total moment: 0.000 Bohr magnetons per cell

abc: 7.213 7.213 5.693
angles: 50.70 50.70 90.00
Positions (direct):
Mo (0.653, 0.125, 0.250)
Mo (0.097, 0.625, 0.250)
Mo (0.375, 0.347, 0.750)
Mo (0.875, 0.903, 0.750)
Li (0.500, 0.500, 0.000)
Li (0.250, 0.750, 0.500)
Ir (0.750, 0.250, 0.500)
Ir (0.000, 0.000, 0.000)



[14]
Here is an optimized crystal structure of Li2MoIr from the Alexandria database. Energies are from PBE.

Values from the calculation:
- E above lowest polymorph: 0.340 eV/atom
- Space group: No. 122
- Formation enthalpy at 0 K: 110 kJ/mol of formula units
- Size of the total moment: 0.000 Bohr magnetons per cell

abc: 3.595 3.595 10.027
angles: 79.67 79.67 90.00
Positions (direct):
Li (0.875, 0.888, 0.750)
Li (0.112, 0.625, 0.250)
Li (0.638, 0.125, 0.250)
Li (0.375, 0.362, 0.750)
Mo (0.500, 0.500, 0.000)
Mo (0.250, 0.750, 0.500)
Ir (0.750, 0.250, 0.500)
Ir (0.000, 0.000, 0.000)



[15]
Here is an optimized crystal structure of LiMoIr2 from the Alexandria database. Energies are from PBE.

Values from the calculation:
- E above lowest polymorph: 0.198 eV/atom
- Space group: No. 65
- Formation enthalpy at 0 K: -2 kJ/mol of formula units
- Size of the total moment: 0.000 Bohr magnetons per cell

abc: 2.712 2.712 8.933
angles: 90.00 90.00 116.32
Positions (direct):
Li (0.500, 0.500, 0.250)
Mo (0.500, 0.500, 0.750)
Ir (0.000, 0.000, 0.002)
Ir (0.000, 0.000, 0.498)



[16]
Here is an optimized crystal structure of LiMo2Ir from the Alexandria database. Energies are from PBE.

Values from the calculation:
- E above lowest polymorph: 0.118 eV/atom
- Space group: No. 44
- Formation enthalpy at 0 K: 53 kJ/mol of formula units
- Size of the total moment: 0.000 Bohr magnetons per cell

abc: 5.103 5.103 5.103
angles: 145.24 127.20 64.78
Positions (direct):
Li (0.745, 0.245, 0.500)
Mo (0.244, 0.744, 0.500)
Mo (0.015, 0.015, 0.000)
Ir (0.496, 0.496, 0.000)



[17]
Here is an optimized crystal structure of Li2MoIr from the Alexandria database. Energies are from PBE.

Values from the calculation:
- E above lowest polymorph: 0.198 eV/atom
- Space group: No. 139
- Formation enthalpy at 0 K: 55 kJ/mol of formula units
- Size of the total moment: 0.000 Bohr magnetons per cell

abc: 5.228 5.228 5.228
angles: 139.75 139.75 58.23
Positions (direct):
Li (0.500, 0.500, 0.000)
Li (0.000, 0.000, 0.000)
Ir (0.750, 0.250, 0.500)
Mo (0.250, 0.750, 0.500)



[18]
Here is an optimized crystal structure of Li2MoIr from the Alexandria database. Energies are from PBE.

Values from the calculation:
- E above lowest polymorph: 0.178 eV/atom
- Space group: No. 166
- Formation enthalpy at 0 K: 47 kJ/mol of formula units
- Size of the total moment: 0.170 Bohr magnetons per cell

abc: 9.573 9.573 9.573
angles: 16.03 16.03 16.03
Last column: magnetic moment on the atom in μB.
Positions (direct):
Li (0.495, 0.495, 0.495)  0.00
Li (0.005, 0.005, 0.005)  0.00
Ir (0.750, 0.750, 0.750)  0.00
Mo (0.250, 0.250, 0.250)  0.15



[19]
Here is an optimized crystal structure of LiMoIr2 from the Alexandria database. Energies are from PBE.

Values from the calculation:
- E above lowest polymorph: 0.079 eV/atom
- Space group: No. 166
- Formation enthalpy at 0 K: -48 kJ/mol of formula units
- Size of the total moment: 0.010 Bohr magnetons per cell

abc: 8.981 8.981 8.981
angles: 17.78 17.78 17.78
Positions (direct):
Ir (0.498, 0.498, 0.498)
Ir (0.002, 0.002, 0.002)
Li (0.250, 0.250, 0.250)
Mo (0.750, 0.750, 0.750)



[20]
Here is an optimized crystal structure of LiMo2Ir2 from the Alexandria database. Energies are from PBE.

Values from the calculation:
- E above lowest polymorph: 0.000 eV/atom
- Space group: No. 127
- Formation enthalpy at 0 K: -34 kJ/mol of formula units
- Size of the total moment: 0.000 Bohr magnetons per cell

abc: 7.684 7.684 2.772
angles: 90.00 90.00 90.00
Positions (direct):
Li (0.000, 0.000, 0.000)
Li (0.500, 0.500, 0.000)
Ir (0.628, 0.128, 0.000)
Ir (0.372, 0.872, 0.000)
Ir (0.128, 0.372, 0.000)
Ir (0.872, 0.628, 0.000)
Mo (0.165, 0.665, 0.500)
Mo (0.835, 0.335, 0.500)
Mo (0.335, 0.165, 0.500)
Mo (0.665, 0.835, 0.500)